# Bi2Sb2Pd

Crystalline Bi2Sb2Pd at its relaxed geometry (PBE-GGA, Alexandria).

It has space group I4_1/amd (No. 141, origin choice 2), with a = 4.627 Å, b = 4.627 Å, c = 26.179 Å, α = 90.00°, β = 90.00° and γ = 90.00°. The asymmetric unit holds Bi at (0.000, 0.250, 0.057), Sb at (0.000, 0.250, 0.189) and Pd at (0.000, 0.250, 0.875).

As for the distance to the lowest polymorph of the same formula: 0.00 eV per formula unit. The calculated density is 9100 kg/m3.

=====

# SrZr2Pt

Crystalline SrZr2Pt at its relaxed geometry (PBE-GGA, Alexandria).

It has space group Cmmm (No. 65), with a = 5.761 Å, b = 10.445 Å, c = 3.063 Å, α = 90.00°, β = 90.00° and γ = 90.00°. The asymmetric unit holds Sr at (0.000, 0.000, 0.000), Zr at (0.250, 0.250, 0.500) and Pt at (0.000, 0.500, 0.000).

The formation energy comes out at 0.1987 eV/atom. As for the distance to the lowest polymorph of the same formula: 2.26 eV per formula unit. The calculated density is 8382 kg/m3.

=====

# LaMgNi

Crystalline LaMgNi at its relaxed geometry (PBE-GGA, Alexandria).

It has space group P2_1/m (No. 11), with a = 5.402 Å, b = 4.838 Å, c = 5.426 Å, α = 90.00°, β = 102.47° and γ = 90.00°. The asymmetric unit holds La at (0.107, 0.250, 0.292), Mg at (0.488, 0.250, 0.845) and Ni at (0.365, 0.750, 0.607).

The formation energy comes out at -0.2268 eV/atom. The calculated density is 5323 kg/m3.

=====

# LaTbGdHg

Crystalline LaTbGdHg at its relaxed geometry (PBE-GGA, Alexandria).

It has space group F-43m (No. 216), with a = 7.802 Å, b = 7.802 Å, c = 7.802 Å, α = 90.00°, β = 90.00° and γ = 90.00°. The asymmetric unit holds La at (0.000, 0.000, 0.000), Tb at (0.000, 0.000, 0.500), Gd at (0.250, 0.250, 0.750) and Hg at (0.250, 0.250, 0.250).

The formation energy comes out at -0.0875 eV/atom. As for the distance to the lowest polymorph of the same formula: 0.00 eV per formula unit. The calculated density is 9170 kg/m3.

=====

# Ca4RhBr

Crystalline Ca4RhBr at its relaxed geometry (PBE-GGA, Alexandria).

It has space group F-43m (No. 216), with a = 9.218 Å, b = 9.218 Å, c = 9.218 Å, α = 90.00°, β = 90.00° and γ = 90.00°. The asymmetric unit holds Ca at (0.124, 0.124, 0.124), Rh at (0.250, 0.250, 0.750) and Br at (0.000, 0.000, 0.500).

The value obtained for the total energy is -2.479 eV per atom. The calculated density is 2910 kg/m3.

=====

# HfHgPdAu

Crystalline HfHgPdAu at its relaxed geometry (PBE-GGA, Alexandria).

It has space group F-43m (No. 216), with a = 6.671 Å, b = 6.671 Å, c = 6.671 Å, α = 90.00°, β = 90.00° and γ = 90.00°. The asymmetric unit holds Hf at (0.000, 0.000, 0.000), Hg at (0.000, 0.000, 0.500), Pd at (0.250, 0.250, 0.250) and Au at (0.250, 0.250, 0.750).

The formation energy comes out at -0.3740 eV/atom. The calculated density is 15267 kg/m3.